# CoAg2I

An optimized crystal structure of CoAg2I (PBE-GGA, the Alexandria database).

```
CoAg2I
1.0
-4.185 4.185 2.525
4.185 -4.185 2.525
4.185 4.185 -2.525
Co Ag I
2 4 2
Cartesian
0.000 0.000 0.000
0.000 4.185 1.263
2.093 1.486 -0.631
2.700 -2.093 3.157
2.093 2.700 1.894
1.486 6.278 0.631
4.185 0.000 1.263
0.000 0.000 2.525
```

Results
DFT total energy	-2.91	eV per atom
relative energy among the computed polymorphs	0.000	eV per atom
uncorrected formation energy	683	meV per atom
magnetic moment	1.30	μB per formula unit
crystal system	tetragonal

---

# CoAg2I2

An optimized crystal structure of CoAg2I2 (PBE-GGA, the Alexandria database).

```
CoAg2I2
1.0
7.563 0.000 0.000
0.000 7.563 0.000
0.000 0.000 4.280
Co Ag I
2 4 4
Cartesian
0.000 0.000 0.000
3.781 3.781 0.000
1.023 2.759 0.000
2.759 6.540 0.000
4.804 1.023 0.000
6.540 4.804 0.000
1.373 5.155 2.140
2.408 1.373 2.140
5.155 6.189 2.140
6.189 2.408 2.140
```

Results
DFT total energy	-2.56	eV per atom
relative energy among the computed polymorphs	0.000	eV per atom
uncorrected formation energy	627	meV per atom
magnetic moment	1.94	μB per formula unit
crystal system	tetragonal

---

# Co3AgI

An optimized crystal structure of Co3AgI (PBE-GGA, the Alexandria database).

```
Co3AgI
1.0
4.610 0.000 0.000
0.000 4.610 0.000
0.000 0.000 4.610
Co Ag I
3 1 1
Cartesian
0.000 0.000 2.305
0.000 2.305 0.000
2.305 0.000 0.000
2.305 2.305 2.305
0.000 0.000 0.000
```

Results
DFT total energy	-3.79	eV per atom
relative energy among the computed polymorphs	0.000	eV per atom
uncorrected formation energy	1357	meV per atom
magnetic moment	3.05	μB per formula unit
crystal system	cubic

---

# CoAgI

An optimized crystal structure of CoAgI (PBE-GGA, the Alexandria database).

```
CoAgI
1.0
3.024 0.000 0.000
0.005 3.364 0.000
0.027 0.034 13.937
Co Ag I
2 2 2
Cartesian
0.757 0.841 0.447
2.299 2.557 13.490
0.785 0.876 11.769
2.272 2.522 2.168
0.788 0.867 8.908
2.268 2.531 5.029
```

Results
DFT total energy	-3.49	eV per atom
uncorrected formation energy	343	meV per atom
magnetic moment	1.76	μB per formula unit
crystal system	triclinic

---

# CoAgI2N

An optimized crystal structure of CoAgI2N (PBE-GGA, the Alexandria database).

```
CoAgI2N
1.0
5.805 0.000 0.000
0.000 5.805 0.000
0.000 0.000 4.050
Co Ag I N
1 1 2 1
Cartesian
0.000 0.000 0.000
2.902 2.902 2.025
0.000 2.902 2.025
2.902 0.000 2.025
2.902 2.902 0.000
```

Results
DFT total energy	-2.90	eV per atom
relative energy among the computed polymorphs	0.945	eV per atom
uncorrected formation energy	1373	meV per atom
magnetic moment	4.44	μB per formula unit
crystal system	tetragonal

---

# CoAgI2N

An optimized crystal structure of CoAgI2N (PBE-GGA, the Alexandria database).

```
CoAgI2N
1.0
5.544 0.000 0.000
0.000 5.544 0.000
0.000 0.000 4.944
Co Ag I N
1 1 2 1
Cartesian
0.000 0.000 0.000
0.000 0.000 2.472
0.000 2.772 2.472
2.772 0.000 2.472
2.772 2.772 0.000
```

Results
DFT total energy	-2.16	eV per atom
relative energy among the computed polymorphs	1.688	eV per atom
uncorrected formation energy	2116	meV per atom
magnetic moment	2.29	μB per formula unit
crystal system	tetragonal